(1)
A geometry-optimized BeReMo2I structure, computed with PBE.

Cell: 4.2374 4.6161 4.2374 Å, 90.00 90.00 90.00°
With the nearest neighbours (Å) after each atom.
Element x y z (fractional)
1 I 0.0000 0.5000 0.0000  2 Be 2.31
2 Re 0.5000 0.5000 0.5000  4 I 3.00, 8 Mo 3.13
3 Mo 0.0000 0.0000 0.5000  2 Be 2.12
4 Mo 0.5000 0.0000 0.0000  2 Be 2.12
5 Be 0.0000 0.0000 0.0000  4 Mo 2.12, 2 I 2.31

Output
Energy, eV/f.u.: -30.68

=====

(2)
A geometry-optimized BeSbMoI2 structure, computed with PBE.

Cell: 5.1941 5.1941 5.0400 Å, 90.00 90.00 90.00°
With the nearest neighbours (Å) after each atom.
Element x y z (fractional)
1 I 0.0000 0.5000 0.0000  2 Be 2.60
2 I 0.5000 0.0000 0.0000  2 Be 2.60
3 Sb 0.0000 0.0000 0.5000  2 Be 2.52
4 Mo 0.5000 0.5000 0.5000  8 I 3.62, 4 Sb 3.67
5 Be 0.0000 0.0000 0.0000  2 Sb 2.52, 4 I 2.60

Output
Offset from the most stable computed form, kJ/mol of atoms: 3.90
Energy, eV/f.u.: -16.60